(1)
VASP calculation (PBE) on an optimized crystal structure of ReAgPb2.

For the total energy, the calculation gives -38.25 eV/cell. The energy above the most stable polymorph in this dataset comes out at 0.208 eV/atom. As for the total magnetization: 0.0000 μB/atom. As for the density of states at the Fermi level: 3.424 states/eV per cell.

It has space group I4/mmm (No. 139), with a = 4.606 Å, b = 4.606 Å, c = 7.988 Å, α = 90.00°, β = 90.00° and γ = 90.00°. Symmetry generates all atoms from Re at (0.000, 0.000, 0.000), Ag at (0.000, 0.000, 0.500) and Pb at (0.000, 0.500, 0.250).

(2)
VASP calculation (PBE) on an optimized crystal structure of ReAgPb2.

For the total energy, the calculation gives -19.63 eV/cell. The energy above the most stable polymorph in this dataset comes out at 0.081 eV/atom. As for the total magnetization: 0.0000 μB/atom. As for the density of states at the Fermi level: 3.801 states/eV per cell.

It has space group P4/mmm (No. 123), with a = 3.542 Å, b = 3.542 Å, c = 6.852 Å, α = 90.00°, β = 90.00° and γ = 90.00°. Symmetry generates all atoms from Re at (0.000, 0.000, 0.000), Ag at (0.000, 0.000, 0.500) and Pb at (0.500, 0.500, 0.232).

(3)
VASP calculation (PBE) on an optimized crystal structure of ReAgRh2Pb.

For the total energy, the calculation gives -28.05 eV/cell. As for the total magnetization: 0.0000 μB/atom. As for the density of states at the Fermi level: 4.645 states/eV per cell.

It has space group P4/mmm (No. 123), with a = 4.742 Å, b = 4.742 Å, c = 5.271 Å, α = 90.00°, β = 90.00° and γ = 90.00°. Symmetry generates all atoms from Re at (0.000, 0.000, 0.000), Ag at (0.500, 0.500, 0.500), Rh at (0.000, 0.500, 0.000) and Pb at (0.000, 0.000, 0.500).

(4)
VASP calculation (PBE) on an optimized crystal structure of TiRe2AgPb.

For the total energy, the calculation gives -31.02 eV/cell. As for the total magnetization: 0.4046 μB/atom. As for the density of states at the Fermi level: 5.378 states/eV per cell.

It has space group P4/mmm (No. 123), with a = 4.629 Å, b = 4.629 Å, c = 5.275 Å, α = 90.00°, β = 90.00° and γ = 90.00°. Symmetry generates all atoms from Ti at (0.000, 0.000, 0.000), Re at (0.000, 0.500, 0.000), Ag at (0.500, 0.500, 0.500) and Pb at (0.000, 0.000, 0.500).

The following formation energy from the elements values (in eV per atom) correspond, in order, to the records above: 0.8983; 0.7716; 1.1325; 1.6656.